# RuS4F

A geometry-optimized RuS4F structure (PBE-GGA, Alexandria).

abc: 6.4482 7.2534 7.0467
angles: 116.59 105.45 97.01
Last column: nearest neighbours and their distance in Å.
Positions (direct):
Ru 0.8029 0.0355 0.9909  7 S 2.36-2.50, 1 Ru 2.64
Ru 0.1970 0.9645 0.0091  7 S 2.36-2.50, 1 Ru 2.64
S 0.1496 0.3098 0.1977  1 F 1.77
S 0.9779 0.8743 0.1921  1 S 2.29, 2 Ru 2.36-2.37
S 0.4131 0.9465 0.7571  1 S 2.02
S 0.5868 0.0535 0.2429  1 S 2.02
S 0.8504 0.6902 0.8023  1 F 1.77
S 0.5934 0.2551 0.9082  1 S 2.02
S 0.4066 0.7449 0.0917  1 S 2.02
S 0.0221 0.1257 0.8079  1 S 2.29, 2 Ru 2.36-2.37
F 0.2255 0.3810 0.4867  1 S 1.77
F 0.7745 0.6190 0.5133  1 S 1.77

formation energy (no corrections): -0.371 eV per atom
total energy: -4.980 eV/atom
volume: 22.727 Å³/atom
M_tot: 0.00 μB/atom
space group: No. 2

---

# ThInBi2

A geometry-optimized ThInBi2 structure (PBE-GGA, Alexandria).

abc: 4.3693 5.1892 5.1892
angles: 90.00 90.00 90.00
Last column: nearest neighbours and their distance in Å.
Positions (direct):
Bi 0.0000 0.0000 0.5000  4 In 3.39, 4 Th 3.39, 4 Bi 3.67
Bi 0.0000 0.5000 0.0000  4 In 3.39, 4 Th 3.39, 4 Bi 3.67
Th 0.5000 0.0000 0.0000  8 Bi 3.39, 4 In 3.67
In 0.5000 0.5000 0.5000  8 Bi 3.39, 4 Th 3.67

total energy: -4.837 eV/atom
volume: 29.413 Å³/atom
M_tot: 0.00 μB/atom
space group: No. 123
formation energy from the elements: -357 meV per atom
E above lowest polymorph: 0.00 kcal/mol of atoms

---

# AsAuSe2F

A geometry-optimized AsAuSe2F structure (PBE-GGA, Alexandria).

abc: 5.0276 5.0276 4.0630
angles: 90.00 90.00 90.00
Last column: nearest neighbours and their distance in Å.
Positions (direct):
As 0.0000 0.0000 0.5000  2 F 2.03
Au 0.5000 0.5000 0.5000  8 Se 3.23, 4 As 3.56
Se 0.0000 0.5000 0.0000  2 F 2.51
Se 0.5000 0.0000 0.0000  2 F 2.51
F 0.0000 0.0000 0.0000  2 As 2.03

formation energy (no corrections): 0.503 eV per atom
total energy: -2.850 eV/atom
volume: 20.540 Å³/atom
M_tot: 0.00 μB/atom
space group: No. 123
E above lowest polymorph: 0.00 kcal/mol of atoms

---

# Sr2ErUS6

A geometry-optimized Sr2ErUS6 structure (PBE-GGA, Alexandria).

abc: 6.9406 7.4025 10.0928
angles: 90.00 89.88 90.00
Last column: nearest neighbours and their distance in Å.
Positions (direct):
Sr 0.0263 0.9212 0.2511  6 S 3.00-3.23
Sr 0.5263 0.5788 0.7511  6 S 3.00-3.23
Sr 0.9737 0.0788 0.7489  6 S 3.00-3.23
Sr 0.4737 0.4212 0.2489  6 S 3.00-3.23
Er 0.5000 0.0000 0.0000  6 S 2.69-2.71
Er 0.0000 0.5000 0.5000  6 S 2.69-2.71
U 0.5000 0.0000 0.5000  6 S 2.61-2.64
U 0.0000 0.5000 0.0000  6 S 2.61-2.64
S 0.3040 0.6921 0.0569  1 U 2.61, 1 Er 2.71
S 0.8040 0.8079 0.5569  1 U 2.61, 1 Er 2.71
S 0.6960 0.3079 0.9431  1 U 2.61, 1 Er 2.71
S 0.1960 0.1921 0.4431  1 U 2.61, 1 Er 2.71
S 0.3132 0.7007 0.4408  1 U 2.64, 1 Er 2.70
S 0.8132 0.7993 0.9408  1 U 2.64, 1 Er 2.70
S 0.6868 0.2993 0.5592  1 U 2.64, 1 Er 2.70
S 0.1868 0.2007 0.0592  1 U 2.64, 1 Er 2.70
S 0.8889 0.5339 0.2461  1 U 2.61, 1 Er 2.69
S 0.3889 0.9661 0.7461  1 U 2.61, 1 Er 2.69
S 0.1111 0.4661 0.7539  1 U 2.61, 1 Er 2.69
S 0.6111 0.0339 0.2539  1 U 2.61, 1 Er 2.69

formation energy (no corrections): -1.852 eV per atom
total energy: -6.250 eV/atom
volume: 25.927 Å³/atom
M_tot: 0.10 μB/atom
space group: No. 14

---

# BaY2Si

A geometry-optimized BaY2Si structure (PBE-GGA, Alexandria).

abc: 5.5327 5.5327 5.5327
angles: 60.00 60.00 60.00
Last column: nearest neighbours and their distance in Å.
Positions (direct):
Ba 0.5000 0.5000 0.5000  4 Si 3.39, 4 Y 3.39
Si 0.7500 0.7500 0.7500  4 Ba 3.39, 4 Y 3.39
Y 0.0000 0.0000 0.0000  4 Y 3.39, 4 Si 3.39
Y 0.2500 0.2500 0.2500  4 Ba 3.39, 4 Y 3.39

formation energy (no corrections): 0.214 eV per atom
total energy: -4.855 eV/atom
volume: 29.939 Å³/atom
M_tot: 0.31 μB/atom
space group: No. 216

---

# Sr2Al4ZnAu3

A geometry-optimized Sr2Al4ZnAu3 structure (PBE-GGA, Alexandria).

abc: 4.4582 4.4582 10.8125
angles: 90.00 90.00 90.00
Last column: nearest neighbours and their distance in Å.
Positions (direct):
Sr 0.5000 0.0000 0.2526  8 Al 3.40-3.53, 6 Au 3.42-3.48, 2 Zn 3.48
Sr 0.0000 0.5000 0.7474  8 Al 3.40-3.53, 6 Au 3.42-3.48, 2 Zn 3.48
Al 0.5000 0.5000 0.0000  4 Au 2.63
Al 0.0000 0.0000 0.0000  4 Au 2.63
Al 0.5000 0.0000 0.6295  3 Au 2.61-2.63, 2 Zn 2.63
Al 0.0000 0.5000 0.3705  3 Au 2.61-2.63, 2 Zn 2.63
Zn 0.5000 0.5000 0.5000  4 Al 2.63
Au 0.0000 0.0000 0.5000  4 Al 2.63
Au 0.5000 0.0000 0.8704  5 Al 2.61-2.63
Au 0.0000 0.5000 0.1296  5 Al 2.61-2.63

total energy: -3.510 eV/atom
volume: 21.491 Å³/atom
M_tot: 0.00 μB/atom
space group: No. 115
formation energy from the elements: -566 meV per atom

---

# Be2NiTe

A geometry-optimized Be2NiTe structure (PBE-GGA, Alexandria).

abc: 4.2126 4.2126 4.0798
angles: 89.80 89.80 53.12
Last column: nearest neighbours and their distance in Å.
Positions (direct):
Ni 0.7500 0.7500 0.7500  6 Be 2.33-2.37
Te 0.2500 0.2500 0.2500  4 Be 2.49-2.50, 4 Ni 2.78
Be 0.0593 0.0593 0.7536  2 Be 2.09, 1 Ni 2.33
Be 0.4407 0.4407 0.7464  2 Be 2.09, 1 Ni 2.33

formation energy (no corrections): 0.104 eV per atom
total energy: -3.990 eV/atom
volume: 14.477 Å³/atom
M_tot: 0.00 μB/atom
space group: No. 12

---

# CrSiNi2

A geometry-optimized CrSiNi2 structure (PBE-GGA, Alexandria).

abc: 8.0902 8.0902 8.0902
angles: 18.23 18.23 18.23
Last column: nearest neighbours and their distance in Å.
Positions (direct):
Cr 0.7500 0.7500 0.7500  6 Ni 2.55, 6 Cr 2.56
Ni 0.9962 0.9962 0.9962  3 Si 2.41, 3 Cr 2.55, 6 Ni 2.56
Ni 0.5038 0.5038 0.5038  3 Si 2.41, 3 Cr 2.55, 6 Ni 2.56
Si 0.2500 0.2500 0.2500  6 Ni 2.41, 6 Si 2.56

formation energy (no corrections): -0.071 eV per atom
total energy: -6.724 eV/atom
volume: 11.313 Å³/atom
M_tot: 0.00 μB/atom
space group: No. 166

---

# Y2FeGeC

A geometry-optimized Y2FeGeC structure (PBE-GGA, Alexandria).

abc: 4.9620 4.9620 3.7185
angles: 90.00 90.00 90.00
Last column: nearest neighbours and their distance in Å.
Positions (direct):
Y 0.0000 0.5000 0.0000  2 C 2.48
Y 0.5000 0.0000 0.0000  2 C 2.48
C 0.0000 0.0000 0.0000  2 Fe 1.86
Ge 0.5000 0.5000 0.5000  8 Y 3.10
Fe 0.0000 0.0000 0.5000  2 C 1.86

total energy: -7.476 eV/atom
volume: 18.311 Å³/atom
M_tot: 0.24 μB/atom
space group: No. 123
formation energy from the elements: -430 meV per atom

---

# Zr2RuPb

A geometry-optimized Zr2RuPb structure (PBE-GGA, Alexandria).

abc: 6.0245 6.0245 6.0245
angles: 147.65 133.59 57.70
Last column: nearest neighbours and their distance in Å.
Positions (direct):
Pb 0.4683 0.4683 0.0000  2 Ru 2.93, 6 Zr 2.99-3.27
Ru 0.2407 0.7407 0.5000  6 Zr 2.74-2.91, 2 Pb 2.93
Zr 0.0356 0.0356 0.0000  2 Ru 2.74, 4 Pb 2.99
Zr 0.7554 0.2554 0.5000  4 Ru 2.91

total energy: -7.704 eV/atom
volume: 21.021 Å³/atom
M_tot: 0.00 μB/atom
space group: No. 44
formation energy from the elements: -184 meV per atom

---

# BaSnPbW2

A geometry-optimized BaSnPbW2 structure (PBE-GGA, Alexandria).

abc: 5.1945 5.9773 5.1945
angles: 90.00 90.00 90.00
Last column: nearest neighbours and their distance in Å.
Positions (direct):
Pb 0.0000 0.5000 0.0000  2 Ba 2.99
Ba 0.0000 0.0000 0.0000  4 W 2.60
W 0.0000 0.0000 0.5000  2 Ba 2.60
W 0.5000 0.0000 0.0000  2 Ba 2.60
Sn 0.5000 0.5000 0.5000  4 Pb 3.67, 8 W 3.96

total energy: -4.165 eV/atom
volume: 32.257 Å³/atom
M_tot: 0.50 μB/atom
space group: No. 123
formation energy from the elements: 2943 meV per atom

---

# Mn2ZnRh

A geometry-optimized Mn2ZnRh structure (PBE-GGA, Alexandria).

abc: 6.9548 6.9548 5.5572
angles: 51.26 51.26 90.00
Last column: nearest neighbours and their distance in Å.
Positions (direct):
Zn 0.5000 0.5000 0.0000  4 Mn 2.57, 2 Rh 2.59
Zn 0.2500 0.7500 0.5000  4 Mn 2.57, 2 Rh 2.59
Mn 0.6316 0.1250 0.2500  2 Rh 2.51, 2 Zn 2.57, 2 Mn 2.59
Mn 0.1184 0.6250 0.2500  2 Rh 2.51, 2 Zn 2.57, 2 Mn 2.59
Mn 0.3750 0.3684 0.7500  2 Rh 2.51, 2 Zn 2.57, 2 Mn 2.59
Mn 0.8750 0.8816 0.7500  2 Rh 2.51, 2 Zn 2.57, 2 Mn 2.59
Rh 0.0000 0.0000 0.0000  4 Mn 2.51, 2 Zn 2.59
Rh 0.7500 0.2500 0.5000  4 Mn 2.51, 2 Zn 2.59

total energy: -6.379 eV/atom
volume: 15.647 Å³/atom
M_tot: 2.03 μB/atom
space group: No. 122
formation energy from the elements: 363 meV per atom